Crystalline NiAs2Ru at its relaxed geometry, computed with PBE-GGA.

```
NiAs2Ru
1.0
-1.3596 4.0528 -3.1932
-4.1654 -2.8110 -1.7940
-5.9150 2.7285 1.5235
Ru Ni As
2 2 4
Cartesian
0.0000 0.0000 0.0000 Ru
-5.0186 3.7011 -2.0817 Ru
-2.7625 0.6209 -2.4936 Ni
-6.4214 0.2692 -1.3821 Ni
-9.2245 3.1640 -3.2014 As
-6.5542 2.4809 -0.7474 As
-2.8342 2.8189 -1.8038 As
-4.2671 -0.5233 -1.1749 As
```

- total energy (eV/cell) = -48.19
- calculated formation energy (eV/atom) = 0.065
- energy above the lowest structure with this stoichiometry (kJ per mole of atoms) = 17.78

***

Crystalline Li2Zn3AgAu6 at its relaxed geometry, computed with PBE-GGA.

```
Li2Zn3AgAu6
1.0
3.9050 0.0000 0.0000
0.0000 3.9050 0.0000
0.0000 0.0000 15.3282
Li Zn Au Ag
2 3 6 1
Cartesian
1.9525 1.9525 12.9845 Li
1.9525 1.9525 2.3437 Li
0.0000 0.0000 8.8701 Zn
0.0000 0.0000 0.0000 Zn
0.0000 0.0000 6.4580 Zn
0.0000 1.9525 4.6281 Au
1.9525 0.0000 10.7001 Au
1.9525 0.0000 4.6281 Au
0.0000 0.0000 12.8811 Au
0.0000 0.0000 2.4471 Au
0.0000 1.9525 10.7001 Au
1.9525 1.9525 7.6641 Ag
```

- total energy (eV/cell) = -31.95
- calculated formation energy (eV/atom) = -0.149

***

Crystalline ErScAs at its relaxed geometry, computed with PBE-GGA.

```
ErScAs
1.0
3.9854 0.0000 0.0000
0.0000 4.5228 0.0000
0.0000 -2.2614 3.9169
Sc Er As
1 1 1
Cartesian
0.4803 0.0000 0.0000 Sc
2.4806 2.2614 1.3056 Er
1.0246 0.0000 2.6112 As
```

- total energy (eV/cell) = -17.38
- calculated formation energy (eV/atom) = -0.611

***

Crystalline AgSb2Cl6 at its relaxed geometry, computed with PBE-GGA.

```
AgSb2Cl6
1.0
6.9425 -0.5411 -0.5238
1.5086 9.1220 -1.0328
1.5086 -0.7367 9.1507
Cl Ag Sb
12 2 4
Cartesian
1.9882 3.6734 6.0770 Cl
2.0125 -0.2114 5.8404 Cl
7.9471 8.0556 1.7537 Cl
6.5493 1.3088 -0.1365 Cl
5.4594 5.9223 3.2127 Cl
5.4838 5.5599 -0.6625 Cl
4.5002 1.9220 4.3814 Cl
6.8815 7.6677 6.0196 Cl
7.9714 4.1708 1.5171 Cl
4.4758 2.2843 8.2565 Cl
3.4103 6.5354 7.7305 Cl
3.0781 0.1765 1.5744 Cl
3.2442 -0.2715 8.3994 Ag
6.7154 8.1157 -0.8054 Ag
7.7061 6.6070 3.7538 Sb
2.2535 1.2372 3.8402 Sb
5.7247 3.6077 0.8502 Sb
4.2349 4.2365 6.7438 Sb
```

- total energy (eV/cell) = -54.59

***

Crystalline Tb2Pm3In3 at its relaxed geometry, computed with PBE-GGA.

```
Tb2Pm3In3
1.0
4.4162 0.0000 0.0000
0.0000 5.0512 0.0000
-2.2081 -2.5256 10.4940
Pm In Tb
3 3 2
Cartesian
2.2081 2.5256 2.5192 Pm
0.0000 0.0000 7.9748 Pm
2.2081 0.0000 0.0000 Pm
2.2081 2.5256 7.8395 In
0.0000 0.0000 2.6545 In
0.0000 2.5256 0.0000 In
2.2081 0.0000 4.9706 Tb
0.0000 2.5256 5.5234 Tb
```

- total energy (eV/cell) = -34.60
- calculated formation energy (eV/atom) = -0.360

***

Crystalline Er5Al4Hg at its relaxed geometry, computed with PBE-GGA.

```
Er5Al4Hg
1.0
3.5475 0.0000 0.0000
0.0000 3.5475 0.0000
0.0000 0.0000 18.4152
Al Er Hg
4 5 1
Cartesian
0.0000 0.0000 7.4212 Al
0.0000 0.0000 3.8000 Al
0.0000 0.0000 10.9940 Al
0.0000 0.0000 14.6152 Al
1.7738 1.7738 5.6271 Er
1.7738 1.7738 12.7880 Er
1.7738 1.7738 16.4137 Er
1.7738 1.7738 2.0015 Er
1.7738 1.7738 9.2076 Er
0.0000 0.0000 0.0000 Hg
```

- total energy (eV/cell) = -42.16
- calculated formation energy (eV/atom) = -0.407

***

Copy entry 5 word for word.
Crystalline Tb2Pm3In3 at its relaxed geometry, computed with PBE-GGA.

```
Tb2Pm3In3
1.0
4.4162 0.0000 0.0000
0.0000 5.0512 0.0000
-2.2081 -2.5256 10.4940
Pm In Tb
3 3 2
Cartesian
2.2081 2.5256 2.5192 Pm
0.0000 0.0000 7.9748 Pm
2.2081 0.0000 0.0000 Pm
2.2081 2.5256 7.8395 In
0.0000 0.0000 2.6545 In
0.0000 2.5256 0.0000 In
2.2081 0.0000 4.9706 Tb
0.0000 2.5256 5.5234 Tb
```

- total energy (eV/cell) = -34.60
- calculated formation energy (eV/atom) = -0.360